# PBE HoEr3Zn2, relaxed
data_HoEr3Zn2
_chemical_formula_sum 'Ho2 Er6 Zn4'
_symmetry_space_group_name_H-M 'P 1'
_symmetry_Int_Tables_number 1
_cell_length_a 4.9674
_cell_length_b 8.9865
_cell_length_c 6.7298
_cell_angle_alpha 90.00
_cell_angle_beta 90.00
_cell_angle_gamma 90.00
loop_
_symmetry_equiv_pos_as_xyz
'x,y,z'
loop_
_atom_site_label
_atom_site_fract_x
_atom_site_fract_y
_atom_site_fract_z
Ho1 0.0000 0.0562 0.0000
Ho2 0.0000 0.9438 0.5000
Er1 0.0000 0.3256 0.6500
Er2 0.0000 0.6744 0.1500
Er3 0.5000 0.1759 0.3168
Er4 0.5000 0.4438 0.9662
Er5 0.5000 0.5562 0.4662
Er6 0.5000 0.8241 0.8168
Zn1 0.0000 0.3514 0.2115
Zn2 0.0000 0.6486 0.7115
Zn3 0.5000 0.1489 0.7547
Zn4 0.5000 0.8511 0.2547
# Total magnetic moment (μB per cell): 0.000
# Calculated formation energy (eV per atom): -0.24
# Energy relative to the lowest polymorph listed for this composition (eV per formula unit): 0.00
# Uncorrected energy (eV per cell): -44.5

---

# PBE HoErZn2, relaxed
data_HoErZn2
_chemical_formula_sum 'Ho1 Er1 Zn2'
_symmetry_space_group_name_H-M 'P 1'
_symmetry_Int_Tables_number 1
_cell_length_a 5.0024
_cell_length_b 5.0024
_cell_length_c 3.5625
_cell_angle_alpha 90.00
_cell_angle_beta 90.00
_cell_angle_gamma 90.00
loop_
_symmetry_equiv_pos_as_xyz
'x,y,z'
loop_
_atom_site_label
_atom_site_fract_x
_atom_site_fract_y
_atom_site_fract_z
Ho1 0.0000 0.0000 0.0000
Er1 0.5000 0.5000 0.0000
Zn1 0.0000 0.5000 0.5000
Zn2 0.5000 0.0000 0.5000
# Total magnetic moment (μB per cell): 0.000
# Calculated formation energy (eV per atom): -0.35
# Energy relative to the lowest polymorph listed for this composition (eV per formula unit): 0.02
# Uncorrected energy (eV per cell): -13.1

---

# PBE HoErZn6, relaxed
data_HoErZn6
_chemical_formula_sum 'Ho1 Er1 Zn6'
_symmetry_space_group_name_H-M 'P 1'
_symmetry_Int_Tables_number 1
_cell_length_a 4.3961
_cell_length_b 6.0901
_cell_length_c 6.0901
_cell_angle_alpha 65.06
_cell_angle_beta 90.00
_cell_angle_gamma 90.00
loop_
_symmetry_equiv_pos_as_xyz
'x,y,z'
loop_
_atom_site_label
_atom_site_fract_x
_atom_site_fract_y
_atom_site_fract_z
Ho1 0.0000 0.0000 0.0000
Er1 0.5000 0.7117 0.7117
Zn1 0.0000 0.0628 0.4753
Zn2 0.0000 0.4753 0.0628
Zn3 0.0000 0.5183 0.5183
Zn4 0.5000 0.1942 0.1942
Zn5 0.5000 0.2369 0.6482
Zn6 0.5000 0.6482 0.2369
# Total magnetic moment (μB per cell): 0.000
# Calculated formation energy (eV per atom): -0.31
# Uncorrected energy (eV per cell): -19.3

---

# PBE Ho9Er4Zn11, relaxed
data_Ho9Er4Zn11
_chemical_formula_sum 'Ho9 Er4 Zn11'
_symmetry_space_group_name_H-M 'P 1'
_symmetry_Int_Tables_number 1
_cell_length_a 13.0091
_cell_length_b 13.0091
_cell_length_c 3.4239
_cell_angle_alpha 90.00
_cell_angle_beta 90.00
_cell_angle_gamma 107.63
loop_
_symmetry_equiv_pos_as_xyz
'x,y,z'
loop_
_atom_site_label
_atom_site_fract_x
_atom_site_fract_y
_atom_site_fract_z
Ho1 0.0000 0.0000 0.0000
Ho2 0.1233 0.6488 0.0000
Ho3 0.2952 0.4773 0.0000
Ho4 0.3512 0.8767 0.0000
Ho5 0.4773 0.2952 0.0000
Ho6 0.5227 0.7048 0.0000
Ho7 0.6488 0.1233 0.0000
Ho8 0.7048 0.5227 0.0000
Ho9 0.8767 0.3512 0.0000
Er1 0.0816 0.2552 0.0000
Er2 0.2552 0.0816 0.0000
Er3 0.7448 0.9184 0.0000
Er4 0.9184 0.7448 0.0000
Zn1 0.0833 0.4466 0.5000
Zn2 0.1302 0.8698 0.5000
Zn3 0.2818 0.2818 0.5000
Zn4 0.3245 0.6755 0.5000
Zn5 0.4466 0.0833 0.5000
Zn6 0.5000 0.5000 0.5000
Zn7 0.5534 0.9167 0.5000
Zn8 0.6755 0.3245 0.5000
Zn9 0.7182 0.7182 0.5000
Zn10 0.8698 0.1302 0.5000
Zn11 0.9167 0.5534 0.5000
# Total magnetic moment (μB per cell): 0.005
# Calculated formation energy (eV per atom): -0.25
# Uncorrected energy (eV per cell): -79.4

---

# PBE Ho2ErZn, relaxed
data_Ho2ErZn
_chemical_formula_sum 'Ho2 Er1 Zn1'
_symmetry_space_group_name_H-M 'P 1'
_symmetry_Int_Tables_number 1
_cell_length_a 4.7134
_cell_length_b 4.7134
_cell_length_c 4.7102
_cell_angle_alpha 90.00
_cell_angle_beta 90.00
_cell_angle_gamma 90.00
loop_
_symmetry_equiv_pos_as_xyz
'x,y,z'
loop_
_atom_site_label
_atom_site_fract_x
_atom_site_fract_y
_atom_site_fract_z
Ho1 0.0000 0.5000 0.0000
Ho2 0.5000 0.0000 0.0000
Er1 0.0000 0.0000 0.5000
Zn1 0.5000 0.5000 0.5000
# Total magnetic moment (μB per cell): 0.086
# Calculated formation energy (eV per atom): -0.03
# Energy relative to the lowest polymorph listed for this composition (eV per formula unit): 0.53
# Uncorrected energy (eV per cell): -15.1

---

# PBE Ho2Er3Zn2, relaxed
data_Ho2Er3Zn2
_chemical_formula_sum 'Ho2 Er3 Zn2'
_symmetry_space_group_name_H-M 'P 1'
_symmetry_Int_Tables_number 1
_cell_length_a 8.2287
_cell_length_b 8.2287
_cell_length_c 8.2287
_cell_angle_alpha 36.89
_cell_angle_beta 36.89
_cell_angle_gamma 36.89
loop_
_symmetry_equiv_pos_as_xyz
'x,y,z'
loop_
_atom_site_label
_atom_site_fract_x
_atom_site_fract_y
_atom_site_fract_z
Ho1 0.0798 0.0798 0.0798
Ho2 0.9202 0.9202 0.9202
Er1 0.3429 0.3429 0.3429
Er2 0.5000 0.5000 0.5000
Er3 0.6571 0.6571 0.6571
Zn1 0.2136 0.2136 0.2136
Zn2 0.7864 0.7864 0.7864
# Total magnetic moment (μB per cell): 0.000
# Calculated formation energy (eV per atom): -0.13
# Energy relative to the lowest polymorph listed for this composition (eV per formula unit): 0.00
# Uncorrected energy (eV per cell): -26.3

---

# PBE Ho4Er5Zn, relaxed
data_Ho4Er5Zn
_chemical_formula_sum 'Ho4 Er5 Zn1'
_symmetry_space_group_name_H-M 'P 1'
_symmetry_Int_Tables_number 1
_cell_length_a 3.5128
_cell_length_b 3.5128
_cell_length_c 23.5747
_cell_angle_alpha 90.00
_cell_angle_beta 90.00
_cell_angle_gamma 90.00
loop_
_symmetry_equiv_pos_as_xyz
'x,y,z'
loop_
_atom_site_label
_atom_site_fract_x
_atom_site_fract_y
_atom_site_fract_z
Ho1 0.0000 0.0000 0.1056
Ho2 0.0000 0.0000 0.3170
Ho3 0.0000 0.0000 0.6830
Ho4 0.0000 0.0000 0.8944
Er1 0.5000 0.5000 0.0000
Er2 0.5000 0.5000 0.2121
Er3 0.5000 0.5000 0.4249
Er4 0.5000 0.5000 0.5751
Er5 0.5000 0.5000 0.7879
Zn1 0.0000 0.0000 0.5000
# Total magnetic moment (μB per cell): 0.001
# Calculated formation energy (eV per atom): -0.05
# Uncorrected energy (eV per cell): -42.9

---

# PBE Ho8Er6Zr, relaxed
data_Ho8Er6Zr
_chemical_formula_sum 'Ho8 Er6 Zr1'
_symmetry_space_group_name_H-M 'P 1'
_symmetry_Int_Tables_number 1
_cell_length_a 9.6732
_cell_length_b 9.6732
_cell_length_c 5.7223
_cell_angle_alpha 90.00
_cell_angle_beta 90.00
_cell_angle_gamma 120.00
loop_
_symmetry_equiv_pos_as_xyz
'x,y,z'
loop_
_atom_site_label
_atom_site_fract_x
_atom_site_fract_y
_atom_site_fract_z
Ho1 0.0515 0.7810 0.2340
Ho2 0.2190 0.2705 0.2340
Ho3 0.2705 0.0515 0.7660
Ho4 0.3333 0.6667 0.2355
Ho5 0.6667 0.3333 0.7645
Ho6 0.7295 0.9485 0.2340
Ho7 0.7810 0.7295 0.7660
Ho8 0.9485 0.2190 0.7660
Er1 0.0930 0.6208 0.7459
Er2 0.3792 0.4722 0.7459
Er3 0.4722 0.0930 0.2541
Er4 0.5278 0.9070 0.7459
Er5 0.6208 0.5278 0.2541
Er6 0.9070 0.3792 0.2541
Zr1 0.0000 0.0000 0.5000
# Total magnetic moment (μB per cell): 0.138
# Calculated formation energy (eV per atom): 0.16
# Uncorrected energy (eV per cell): -70.2